Model 1:
A relaxed Li2La2Se crystal, computed with PBE.

a b c (Å): 6.8589 6.8589 5.1124
angles (deg): 90.00 90.00 90.00
Last column: nearest neighbours and their distance in Å.
Fractional coordinates of all 10 atoms:
La 0.3347 0.1653 0.5000  6 Li 3.15-3.33, 1 La 3.21
La 0.1653 0.6653 0.5000  6 Li 3.15-3.33, 1 La 3.21
La 0.6653 0.8347 0.5000  6 Li 3.15-3.33, 1 La 3.21
La 0.8347 0.3347 0.5000  6 Li 3.15-3.33, 1 La 3.21
Li 0.8553 0.6447 0.0000  2 Se 2.63, 1 Li 2.81
Li 0.1447 0.3553 0.0000  2 Se 2.63, 1 Li 2.81
Li 0.3553 0.8553 0.0000  2 Se 2.63, 1 Li 2.81
Li 0.6447 0.1447 0.0000  2 Se 2.63, 1 Li 2.81
Se 0.0000 0.0000 0.0000  4 Li 2.63
Se 0.5000 0.5000 0.0000  4 Li 2.63

space-group type = P4/mbm (127)
ρ = 5.118 g cm⁻³


Model 2:
A relaxed Li2La2Se crystal, computed with PBE.

a b c (Å): 4.3590 4.3590 7.6813
angles (deg): 73.52 73.52 90.00
Last column: nearest neighbours and their distance in Å.
Fractional coordinates of all 5 atoms:
Li 0.4208 0.4208 0.1584  1 Li 2.23
Li 0.5792 0.5792 0.8416  1 Li 2.23
La 0.7500 0.2500 0.5000  4 La 3.08, 4 Li 3.24
La 0.2500 0.7500 0.5000  4 La 3.08, 4 Li 3.24
Se 0.0000 0.0000 0.0000  8 Li 3.28

space-group type = I4/mmm (139)
ρ = 4.604 g cm⁻³


Most favorable structure: model 1. The second most favorable one is 523 meV/atom above it.